[1]
Compound: MgGa2
Source: Alexandria
Functional: PBE
Structure: optimized geometry

a = 5.1370 Å, b = 5.1370 Å, c = 15.1958 Å
α = 90.00°, β = 90.00°, γ = 120.00°
Space group R32 (No. 155, hexagonal axes)
Unique sites:
Mg: 0.0000 0.0000 0.1671
Ga: 0.0000 0.0000 0.5000
Ga: 0.0000 0.6633 0.0000

Calculated formation energy   -0.07 eV per atom

=====

[2]
Compound: Cs2UHgO6
Source: Alexandria
Functional: PBE
Structure: optimized geometry

a = 6.907 Å, b = 6.907 Å, c = 8.474 Å
α = 90.00°, β = 90.00°, γ = 90.00°
Space group I4/mmm (No. 139)
Unique sites:
Cs: 0.000 0.500 0.250
U: 0.000 0.000 0.000
Hg: 0.000 0.000 0.500
O: 0.000 0.000 0.262
O: 0.199 0.199 0.000

Raw formation energy   -1.76 eV/atom

=====

[3]
Compound: Rb2BePbCl6
Source: Alexandria
Functional: PBE
Structure: optimized geometry

a = 7.317 Å, b = 7.317 Å, c = 10.383 Å
α = 90.00°, β = 90.00°, γ = 90.00°
Space group I4/mmm (No. 139)
Unique sites:
Rb: 0.000 0.500 0.250
Be: 0.000 0.000 0.000
Pb: 0.000 0.000 0.500
Cl: 0.000 0.000 0.225
Cl: 0.224 0.224 0.000

E above lowest polymorph   1.053 eV/f.u.
Raw formation energy   -1.43 eV/atom

=====

[4]
Compound: PrPdPt
Source: Alexandria
Functional: PBE
Structure: optimized geometry

a = 4.5098 Å, b = 4.5098 Å, c = 3.8422 Å
α = 90.00°, β = 90.00°, γ = 120.00°
Space group P-6m2 (No. 187)
Unique sites:
Pr: 0.0000 0.0000 0.0000
Pd: 0.3333 0.6667 0.5000
Pt: 0.6667 0.3333 0.5000

E above lowest polymorph   0.242 eV/f.u.
Calculated formation energy   -0.82 eV per atom

=====

[5]
Compound: Hf2ScUN4
Source: Alexandria
Functional: PBE
Structure: optimized geometry

a = 4.634 Å, b = 4.634 Å, c = 9.176 Å
α = 90.00°, β = 90.00°, γ = 90.00°
Space group I-4m2 (No. 119)
Unique sites:
Hf: 0.000 0.000 0.000
Hf: 0.000 0.500 0.250
Sc: 0.000 0.500 0.750
U: 0.000 0.000 0.500
N: 0.000 0.000 0.251
N: 0.000 0.500 0.001

Raw formation energy   -1.70 eV/atom

=====

[6]
Compound: ZnC5
Source: Alexandria
Functional: PBE
Structure: optimized geometry

a = 4.6980 Å, b = 4.6980 Å, c = 2.3998 Å
α = 90.00°, β = 90.00°, γ = 120.00°
Space group P6/mmm (No. 191)
Unique sites:
Zn: 0.0000 0.0000 0.0000
C: 0.0000 0.5000 0.5000
C: 0.3333 0.6667 0.0000

E above lowest polymorph   12.674 eV/f.u.
Calculated formation energy   2.89 eV per atom

=====

Number 1: DOS at the Fermi energy 6.77 states/eV per cell, total DFT energy (no corrections) -2.62 eV per atom, magnetic moment 0.000 μB/atom. Number 2: DOS at the Fermi energy 9.12 states/eV per cell, total DFT energy (no corrections) -6.06 eV per atom, magnetic moment 0.192 μB/atom. Number 3: DOS at the Fermi energy 0.00 states/eV per cell, total DFT energy (no corrections) -3.48 eV per atom, magnetic moment 0.000 μB/atom. Number 4: DOS at the Fermi energy 2.74 states/eV per cell, total DFT energy (no corrections) -6.15 eV per atom, magnetic moment 0.000 μB/atom. Number 5: DOS at the Fermi energy 11.01 states/eV per cell, total DFT energy (no corrections) -10.55 eV per atom, magnetic moment 0.000 μB/atom. Number 6: DOS at the Fermi energy 1.76 states/eV per cell, total DFT energy (no corrections) -5.00 eV per atom, magnetic moment 0.000 μB/atom.